Ni3Pt3O8: relaxed, GGA+U.

Unit cell a=6.195 b=6.195 c=6.195 alpha=58.89 beta=58.89 gamma=58.89
Each line ends with the local moment (μB).
Atoms (fractional coordinates):
Ni1 0.500 0.000 0.000  1.64
Ni2 0.000 0.500 0.000  1.64
Ni3 0.000 0.000 0.500  1.64
Pt1 0.365 0.365 0.365  -1.37
Pt2 0.635 0.635 0.635  -1.37
Pt3 0.000 0.000 0.000  -0.18
O1 0.768 0.768 0.768  -0.19
O2 0.212 0.765 0.765  -0.14
O3 0.765 0.212 0.765  -0.14
O4 0.765 0.765 0.212  -0.14
O5 0.232 0.232 0.232  -0.19
O6 0.788 0.235 0.235  -0.14
O7 0.235 0.788 0.235  -0.14
O8 0.235 0.235 0.788  -0.14

Properties
total DFT energy (no corrections)	-71.728	eV per cell
density of states at the Fermi level	0.496	states/eV per atom
V	163.9	Å³ per cell